# 1
Computed, not measured: an optimized crystal structure of KCd3Pt at the PBE-GGA level of DFT.

The structure belongs to space group Cmcm (No. 63); the cell edges are 5.351, 19.351 and 5.692 Å and the angles 90.00°, 90.00° and 90.00°. Symmetry generates all atoms from K at (0.000, 0.198, 0.250), Cd at (0.000, 0.000, 0.000), Cd at (0.246, 0.379, 0.250) and Pt at (0.000, 0.492, 0.750).

Its density of states at the Fermi level is 2.320 states/eV/f.u. As for the energy above the lowest structure with this stoichiometry: 0.270 eV per atom. The value obtained for the mass density is 6.440 g/cm3.

***

# 2
Computed, not measured: an optimized crystal structure of BeZn3B at the PBE-GGA level of DFT.

The structure belongs to space group Pm-3m (No. 221); the cell edges are 4.145, 4.145 and 4.145 Å and the angles 90.00°, 90.00° and 90.00°. Symmetry generates all atoms from Be at (0.000, 0.000, 0.000), Zn at (0.000, 0.500, 0.500) and B at (0.500, 0.500, 0.500).

Its density of states at the Fermi level is 1.178 states/eV/f.u. As for the energy above the lowest structure with this stoichiometry: 0.000 eV per atom. The value obtained for the mass density is 5.038 g/cm3.